[1]
4
Lattice="3.908 0.000 0.000 0.000 3.791 0.000 -1.228 0.000 4.732" Properties=species:S:1:pos:R:3 comment="AlNiHg2, optimized geometry, DFT PBEsol" formation_enthalpy_0k_mev_per_atom=65 pbc="T T T"
Al 0.000 0.000 0.000
Ni 2.610 1.896 3.306
Hg 0.631 0.000 2.637
Hg 2.008 1.896 0.665

=====

[2]
6
Lattice="3.209 0.000 0.000 0.000 3.209 0.000 0.000 0.000 9.835" Properties=species:S:1:pos:R:3 comment="Ta5Os, optimized geometry, DFT PBEsol" formation_enthalpy_0k_mev_per_atom=-182 pbc="T T T"
Ta 0.000 0.000 0.000
Ta 0.000 0.000 3.347
Ta 0.000 0.000 6.489
Ta 1.604 1.604 1.660
Ta 1.604 1.604 8.175
Os 1.604 1.604 4.918

=====

[3]
4
Lattice="3.804 0.000 0.000 0.000 3.804 0.000 0.000 0.000 9.411" Properties=species:S:1:pos:R:3 comment="SrLa2Cd, optimized geometry, DFT PBEsol" formation_enthalpy_0k_mev_per_atom=-114 pbc="T T T"
Sr 0.000 0.000 0.000
La 0.000 0.000 4.050
La 1.902 1.902 6.384
Cd 1.902 1.902 2.113

=====

[4]
4
Lattice="3.126 0.000 0.000 0.000 3.126 0.000 0.000 0.000 9.170" Properties=species:S:1:pos:R:3 comment="OsPb2Se, optimized geometry, DFT PBEsol" e_form_raw_ev_per_atom=0.318 pbc="T T T"
Os 0.000 0.000 0.000
Pb 0.000 0.000 5.059
Pb 1.563 1.563 2.239
Se 1.563 1.563 7.931

=====

[5]
4
Lattice="3.656 0.000 0.000 0.000 3.656 0.000 0.000 0.000 7.387" Properties=species:S:1:pos:R:3 comment="MgAlPb2, optimized geometry, DFT PBEsol" formation_enthalpy_0k_mev_per_atom=103 pbc="T T T"
Mg 0.000 0.000 0.000
Al 0.000 0.000 3.694
Pb 1.828 1.828 1.913
Pb 1.828 1.828 5.474

=====

[6]
4
Lattice="-1.612 2.330 6.144 1.612 -2.330 6.144 1.612 2.330 -6.144" Properties=species:S:1:pos:R:3 comment="MnSb2Cl, optimized geometry, DFT PBEsol" e_form_raw_ev_per_atom=0.076 pbc="T T T"
Mn 0.000 0.000 0.000
Sb 1.612 0.000 2.385
Sb 0.000 2.330 3.759
Cl 0.000 0.000 6.144